Here is an optimized crystal structure of ThGa4Cu2 from Alexandria. Energies are from PBE.

Calculated values
The space-group type is No. 62. The energy above the most stable polymorph in this dataset is 0.000 eV per formula unit. The calculation puts the formation energy at -0.341 eV per atom.

Cell lengths 16.912, 4.415, 6.593 Å; angles 90.00, 90.00, 90.00 degrees
Sites, in units of the cell vectors:
Th (0.132, 0.250, 0.004)
Th (0.368, 0.750, 0.504)
Th (0.632, 0.250, 0.496)
Th (0.868, 0.750, 0.996)
Ga (0.035, 0.750, 0.796)
Ga (0.075, 0.250, 0.499)
Ga (0.184, 0.750, 0.315)
Ga (0.194, 0.750, 0.709)
Ga (0.306, 0.250, 0.209)
Ga (0.316, 0.250, 0.815)
Ga (0.425, 0.750, 0.999)
Ga (0.465, 0.250, 0.296)
Ga (0.535, 0.750, 0.704)
Ga (0.575, 0.250, 0.001)
Ga (0.684, 0.750, 0.185)
Ga (0.694, 0.750, 0.791)
Ga (0.806, 0.250, 0.291)
Ga (0.816, 0.250, 0.685)
Ga (0.925, 0.750, 0.501)
Ga (0.965, 0.250, 0.204)
Cu (0.036, 0.750, 0.242)
Cu (0.220, 0.250, 0.518)
Cu (0.280, 0.750, 0.018)
Cu (0.464, 0.250, 0.742)
Cu (0.536, 0.750, 0.258)
Cu (0.720, 0.250, 0.982)
Cu (0.780, 0.750, 0.482)
Cu (0.964, 0.250, 0.758)